Record 1
VASP calculation (GGA-PBE) on a relaxed LaReW3 crystal.

Structure (POSCAR):
```
LaReW3
1.0
4.713 0.000 0.000
0.000 4.713 0.000
0.000 0.000 4.713
La Re W
1 1 3
direct
0.000 0.000 0.000
0.500 0.500 0.500
0.000 0.000 0.500
0.000 0.500 0.000
0.500 0.000 0.000
```

Calculated values
formation energy	3.249	eV per atom
relative energy among the computed polymorphs	1863	meV/atom
symmetry	Pm-3m, No. 221


Record 2
VASP calculation (GGA-PBE) on a relaxed LaSi2Rh4 crystal.

Structure (POSCAR):
```
LaSi2Rh4
1.0
7.773 0.000 0.000
0.000 7.773 0.000
0.000 0.000 3.789
La Si Rh
2 4 8
direct
0.000 0.000 0.000
0.500 0.500 0.500
0.228 0.228 0.500
0.272 0.728 0.000
0.728 0.272 0.000
0.772 0.772 0.500
0.076 0.667 0.500
0.167 0.424 0.000
0.333 0.924 0.500
0.424 0.167 0.000
0.576 0.833 0.000
0.667 0.076 0.500
0.833 0.576 0.000
0.924 0.333 0.500
```

Calculated values
symmetry	P4_2/mnm, No. 136
formation energy (no corrections)	-5.9	eV/f.u.


Record 3
VASP calculation (GGA-PBE) on a relaxed Ce2PrPN5 crystal.

Structure (POSCAR):
```
Ce2PrPN5
1.0
-3.329 3.329 5.463
3.329 -3.329 5.463
3.329 3.329 -5.463
Ce Pr P N
4 2 2 10
direct
0.182 0.682 0.864
0.318 0.182 0.500
0.682 0.818 0.500
0.818 0.318 0.136
0.250 0.250 0.000
0.750 0.750 0.000
0.250 0.750 0.500
0.750 0.250 0.500
0.000 0.000 0.000
0.017 0.790 0.500
0.210 0.710 0.227
0.290 0.517 0.500
0.483 0.983 0.773
0.500 0.500 0.000
0.517 0.017 0.227
0.710 0.483 0.500
0.790 0.290 0.773
0.983 0.210 0.500
```

Calculated values
symmetry	I4/mcm, No. 140
formation energy (no corrections)	-11.7	eV/f.u.


Record 4
VASP calculation (GGA-PBE) on a relaxed NaNb3N crystal.

Structure (POSCAR):
```
NaNb3N
1.0
4.620 0.000 0.000
0.000 4.620 0.000
0.000 0.000 4.620
Na Nb N
1 3 1
direct
0.000 0.000 0.000
0.000 0.000 0.500
0.000 0.500 0.000
0.500 0.000 0.000
0.500 0.500 0.500
```

Calculated values
relative energy among the computed polymorphs	3045	meV/atom
symmetry	Pm-3m, No. 221
formation energy (no corrections)	15.5	eV/f.u.


Record 5
VASP calculation (GGA-PBE) on a relaxed LiCeF5 crystal.

Structure (POSCAR):
```
LiCeF5
1.0
-7.478 7.478 3.350
7.478 -7.478 3.350
7.478 7.478 -3.350
Li Ce F
8 8 40
direct
0.159 0.081 0.256
0.325 0.904 0.244
0.404 0.659 0.578
0.419 0.175 0.078
0.581 0.825 0.922
0.596 0.341 0.422
0.675 0.096 0.756
0.841 0.919 0.744
0.167 0.676 0.877
0.176 0.799 0.508
0.210 0.333 0.008
0.299 0.290 0.623
0.701 0.710 0.377
0.790 0.667 0.992
0.824 0.201 0.492
0.833 0.324 0.123
0.049 0.619 0.293
0.056 0.105 0.118
0.070 0.372 0.117
0.103 0.083 0.416
0.119 0.325 0.569
0.128 0.745 0.698
0.137 0.933 0.111
0.167 0.687 0.084
0.175 0.244 0.793
0.187 0.603 0.519
0.245 0.047 0.617
0.256 0.549 0.931
0.322 0.026 0.389
0.395 0.014 0.952
0.417 0.333 0.019
0.433 0.822 0.796
0.438 0.556 0.452
0.453 0.570 0.198
0.474 0.363 0.296
0.486 0.938 0.382
0.514 0.062 0.618
0.526 0.637 0.704
0.547 0.430 0.802
0.562 0.444 0.548
0.567 0.178 0.204
0.583 0.667 0.981
0.605 0.986 0.048
0.678 0.974 0.611
0.744 0.451 0.069
0.755 0.953 0.383
0.813 0.397 0.481
0.825 0.756 0.207
0.833 0.313 0.916
0.863 0.067 0.889
0.872 0.255 0.302
0.881 0.675 0.431
0.897 0.917 0.584
0.930 0.628 0.883
0.944 0.895 0.882
0.951 0.381 0.707
```

Calculated values
relative energy among the computed polymorphs	0	meV/atom
symmetry	I4_1/a, No. 88
formation energy (no corrections)	-24.6	eV/f.u.


Record 6
VASP calculation (GGA-PBE) on a relaxed CsPmSnS3 crystal.

Structure (POSCAR):
```
CsPmSnS3
1.0
8.903 0.000 0.000
0.000 4.148 0.000
-3.870 0.000 11.114
Cs Pm Sn S
2 2 2 6
direct
0.228 0.250 0.259
0.772 0.750 0.741
0.361 0.750 0.854
0.639 0.250 0.146
0.151 0.250 0.571
0.849 0.750 0.429
0.124 0.250 0.780
0.347 0.750 0.607
0.413 0.750 0.101
0.587 0.250 0.899
0.653 0.250 0.393
0.876 0.750 0.220
```

Calculated values
symmetry	P2_1/m, No. 11
formation energy (no corrections)	-8.2	eV/f.u.


Record 7
VASP calculation (GGA-PBE) on a relaxed BeCuAs crystal.

Structure (POSCAR):
```
BeCuAs
1.0
-1.736 1.736 3.371
1.736 -1.736 3.371
1.736 1.736 -3.371
Be Cu As
1 1 1
direct
0.000 0.000 0.000
0.677 0.677 0.000
0.330 0.330 0.000
```

Calculated values
formation energy	0.200	eV per atom
symmetry	I4mm, No. 107


Record 8
VASP calculation (GGA-PBE) on a relaxed CeMgBr2 crystal.

Structure (POSCAR):
```
CeMgBr2
1.0
1.851 1.069 9.564
-1.851 1.069 9.564
0.000 -2.138 9.564
Ce Mg Br
1 1 2
direct
0.000 0.000 0.000
0.500 0.500 0.500
0.111 0.111 0.111
0.889 0.889 0.889
```

Calculated values
symmetry	R-3m, No. 166
formation energy (no corrections)	-3.0	eV/f.u.


Record 9
VASP calculation (GGA-PBE) on a relaxed LaAlIr2 crystal.

Structure (POSCAR):
```
LaAlIr2
1.0
3.200 -3.599 0.000
3.200 3.599 0.000
0.000 0.000 3.219
La Al Ir
1 1 2
direct
0.000 0.000 0.000
0.500 0.500 0.000
0.000 0.500 0.500
0.500 0.000 0.500
```

Calculated values
formation energy	-0.381	eV per atom
symmetry	Cmmm, No. 65


Record 10
VASP calculation (GGA-PBE) on a relaxed ScAsO4 crystal.

Structure (POSCAR):
```
ScAsO4
1.0
2.796 -4.217 0.000
2.796 4.217 0.000
0.000 0.000 6.784
Sc As O
2 2 8
direct
0.000 0.000 0.000
0.000 0.000 0.500
0.350 0.650 0.750
0.650 0.350 0.250
0.219 0.275 0.750
0.240 0.760 0.541
0.240 0.760 0.959
0.275 0.219 0.250
0.725 0.781 0.750
0.760 0.240 0.041
0.760 0.240 0.459
0.781 0.725 0.250
```

Calculated values
symmetry	Cmcm, No. 63
formation energy (no corrections)	-13.2	eV/f.u.


Record 11
VASP calculation (GGA-PBE) on a relaxed Mg2ZnPb crystal.

Structure (POSCAR):
```
Mg2ZnPb
1.0
4.627 0.000 0.000
0.000 4.627 0.000
0.000 0.000 4.158
Mg Zn Pb
2 1 1
direct
0.000 0.500 0.000
0.500 0.000 0.000
0.000 0.000 0.500
0.500 0.500 0.500
```

Calculated values
formation energy	-0.016	eV per atom
symmetry	P4/mmm, No. 123


Record 12
VASP calculation (GGA-PBE) on a relaxed PuTiAs crystal.

Structure (POSCAR):
```
PuTiAs
1.0
4.409 0.000 0.000
-2.204 3.818 0.000
0.000 0.000 3.731
Pu Ti As
1 1 1
direct
0.000 0.000 0.000
0.667 0.333 0.500
0.333 0.667 0.500
```

Calculated values
formation energy	-0.467	eV per atom
symmetry	P-6m2, No. 187


Number 1: spin magnetization 0.164 μB/atom. Number 2: spin magnetization 0.000 μB/atom. Number 3: spin magnetization 0.119 μB/atom. Number 4: spin magnetization 0.000 μB/atom. Number 5: spin magnetization 0.000 μB/atom. Number 6: spin magnetization 0.000 μB/atom. Number 7: spin magnetization 0.000 μB/atom. Number 8: spin magnetization 0.411 μB/atom. Number 9: spin magnetization 0.000 μB/atom. Number 10: spin magnetization 0.000 μB/atom. Number 11: spin magnetization 0.000 μB/atom. Number 12: spin magnetization 2.052 μB/atom.